A | Compound: Tb2CePm
Source: the Alexandria database
Functional: PBE-GGA
Structure: optimized geometry

The structure in POSCAR format:
```
Tb2CePm
1.0
-2.125 2.341 1.655
-2.318 -1.129 2.468
6.518 1.877 9.562
Tb Ce Pm
2 1 1
direct
0.252 0.252 0.244
0.081 0.081 0.757
0.667 0.667 0.000
0.500 0.500 0.499
```

Calculated values
V = 31.8 Å³/atom
space-group type = R3m
crystal system = trigonal


B | Compound: Tb2CePm
Source: the Alexandria database
Functional: PBE-GGA
Structure: optimized geometry

The structure in POSCAR format:
```
Tb2CePm
1.0
5.021 0.000 0.000
0.000 5.056 0.000
0.000 0.000 5.056
Tb Ce Pm
2 1 1
direct
0.000 0.000 0.500
0.000 0.500 0.000
0.500 0.000 0.000
0.500 0.500 0.500
```

Calculated values
V = 32.1 Å³/atom
space-group type = P4/mmm
crystal system = tetragonal


Which structure is the least stable? The one labeled B.


A | Compound: TbCe2Pm
Source: the Alexandria database
Functional: PBE-GGA
Structure: optimized geometry

The structure in POSCAR format:
```
TbCe2Pm
1.0
3.506 0.000 0.000
1.753 3.036 0.000
1.753 1.012 11.645
Pm Ce Tb
1 2 1
direct
0.000 0.000 0.000
0.249 0.249 0.252
0.751 0.751 0.748
0.500 0.500 0.500
```

Calculated values
V = 31.0 Å³/atom
space-group type = R-3m
crystal system = trigonal


B | Compound: TbCe2Pm
Source: the Alexandria database
Functional: PBE-GGA
Structure: optimized geometry

The structure in POSCAR format:
```
TbCe2Pm
1.0
-2.993 -3.262 3.561
-3.192 -4.237 -2.033
1.542 -5.396 0.886
Ce Pm Tb
2 1 1
direct
0.750 0.750 0.750
0.250 0.250 0.250
0.500 0.500 0.500
0.000 0.000 0.000
```

Calculated values
V = 32.4 Å³/atom
space-group type = Fm-3m
crystal system = cubic


Which structure is the least stable? The one labeled B.


A | Compound: Ce2PmTc
Source: the Alexandria database
Functional: PBE-GGA
Structure: optimized geometry

The structure in POSCAR format:
```
Ce2PmTc
1.0
6.031 0.000 -2.740
0.000 6.079 0.000
-0.741 0.000 6.375
Tc Pm Ce
2 2 4
direct
0.000 0.125 0.000
0.000 0.625 0.000
0.375 0.375 0.000
0.625 0.875 0.000
0.652 0.375 0.640
0.348 0.875 0.360
0.988 0.875 0.640
0.012 0.375 0.360
```

Calculated values
V = 27.7 Å³/atom
space-group type = Cmcm
crystal system = orthorhombic


B | Compound: Ce2PmTc
Source: the Alexandria database
Functional: PBE-GGA
Structure: optimized geometry

The structure in POSCAR format:
```
Ce2PmTc
1.0
3.445 0.000 0.000
0.000 3.445 0.000
0.000 0.000 8.741
Ce Tc Pm
2 1 1
direct
0.000 0.000 0.197
0.000 0.000 0.803
0.500 0.500 0.000
0.500 0.500 0.500
```

Calculated values
V = 25.9 Å³/atom
space-group type = P4/mmm
crystal system = tetragonal


C | Compound: Ce2PmTc
Source: the Alexandria database
Functional: PBE-GGA
Structure: optimized geometry

The structure in POSCAR format:
```
Ce2PmTc
1.0
3.900 0.000 0.000
1.950 3.377 0.000
1.950 1.126 8.756
Tc Pm Ce
1 1 2
direct
0.664 0.664 0.007
0.501 0.501 0.496
0.060 0.060 0.821
0.275 0.275 0.176
```

Calculated values
V = 28.8 Å³/atom
space-group type = R3m
crystal system = trigonal


D | Compound: Ce2PmTc
Source: the Alexandria database
Functional: PBE-GGA
Structure: optimized geometry

The structure in POSCAR format:
```
Ce2PmTc
1.0
-1.391 -2.909 -1.925
4.725 -2.128 3.463
-5.960 -1.801 7.026
Tc Pm Ce
2 2 4
direct
0.207 0.414 0.250
0.793 0.586 0.750
0.075 0.151 0.750
0.925 0.849 0.250
0.642 0.283 0.438
0.642 0.283 0.062
0.358 0.717 0.938
0.358 0.717 0.562
```

Calculated values
V = 26.2 Å³/atom
space-group type = Cmcm
crystal system = orthorhombic


Which structure is the least stable? The one labeled C.


A | Compound: Ce3PmTc
Source: the Alexandria database
Functional: PBE-GGA
Structure: optimized geometry

The structure in POSCAR format:
```
Ce3PmTc
1.0
5.375 0.000 0.000
0.000 5.375 0.000
0.000 0.000 5.375
Ce Tc Pm
3 1 1
direct
0.500 0.000 0.000
0.000 0.500 0.000
0.000 0.000 0.500
0.000 0.000 0.000
0.500 0.500 0.500
```

Calculated values
V = 31.1 Å³/atom
space-group type = Pm-3m
crystal system = cubic


B | Compound: Ce3PmTc
Source: the Alexandria database
Functional: PBE-GGA
Structure: optimized geometry

The structure in POSCAR format:
```
Ce3PmTc
1.0
3.418 0.046 0.056
1.794 6.040 0.128
0.187 -0.716 11.964
Ce Tc Pm
6 2 2
direct
0.434 0.282 0.005
0.875 0.279 0.537
0.125 0.721 0.463
0.566 0.718 0.995
0.010 0.924 0.179
0.990 0.076 0.821
0.548 0.930 0.627
0.452 0.070 0.373
0.208 0.543 0.738
0.792 0.457 0.262
```

Calculated values
V = 24.6 Å³/atom
space-group type = P-1
crystal system = triclinic


Which structure is the least stable? The one labeled A.